Entry from Alexandria via LeMat-Bulk: K2P2Rh after structural relaxation (PBE-GGA).

Cell and atoms, written as CIF:
```
data_K2P2Rh
_chemical_formula_sum 'K4 P4 Rh2'
_symmetry_space_group_name_H-M 'P 4/m b m'
_symmetry_Int_Tables_number 127
_symmetry_space_group_name_Hall '-P 4 2ab'
_cell_length_a 6.144
_cell_length_b 6.144
_cell_length_c 5.457
_cell_angle_alpha 90.00
_cell_angle_beta 90.00
_cell_angle_gamma 90.00
loop_
_atom_site_label
_atom_site_fract_x
_atom_site_fract_y
_atom_site_fract_z
K1 0.180 0.320 0.000
P1 0.130 0.630 0.500
Rh1 0.000 0.000 0.500
```

calculated formation energy	-418	meV per atom

=====

Entry from Alexandria via LeMat-Bulk: La2MgAl12Co3 after structural relaxation (PBE-GGA).

Cell and atoms, written as CIF:
```
data_La2MgAl12Co3
_chemical_formula_sum 'La6 Mg3 Al36 Co9'
_symmetry_space_group_name_H-M 'R -3 m'
_symmetry_Int_Tables_number 166
_symmetry_space_group_name_Hall '-R 3 2"'
_cell_length_a 8.4894
_cell_length_b 8.4894
_cell_length_c 19.0425
_cell_angle_alpha 90.00
_cell_angle_beta 90.00
_cell_angle_gamma 120.00
loop_
_atom_site_label
_atom_site_fract_x
_atom_site_fract_y
_atom_site_fract_z
La1 0.0000 0.0000 0.0833
Mg1 0.0000 0.0000 0.5000
Al1 0.0645 0.5322 0.8821
Al2 0.1007 0.5504 0.3175
Co1 0.0000 0.5000 0.0000
```

calculated formation energy	81	meV per atom

=====

Entry from Alexandria via LeMat-Bulk: Pm2BeSb after structural relaxation (PBE-GGA).

Cell and atoms, written as CIF:
```
data_Pm2BeSb
_chemical_formula_sum 'Pm6 Be3 Sb3'
_symmetry_space_group_name_H-M 'R -3 m'
_symmetry_Int_Tables_number 166
_symmetry_space_group_name_Hall '-R 3 2"'
_cell_length_a 4.7132
_cell_length_b 4.7132
_cell_length_c 17.1484
_cell_angle_alpha 90.00
_cell_angle_beta 90.00
_cell_angle_gamma 120.00
loop_
_atom_site_label
_atom_site_fract_x
_atom_site_fract_y
_atom_site_fract_z
Pm1 0.0000 0.0000 0.2412
Be1 0.0000 0.0000 0.5000
Sb1 0.0000 0.0000 0.0000
```

energy above the lowest structure with this stoichiometry	34	meV per atom

=====

Entry from Alexandria via LeMat-Bulk: SbPt2CS after structural relaxation (PBE-GGA).

Cell and atoms, written as CIF:
```
data_SbPt2CS
_chemical_formula_sum 'Sb1 Pt2 C1 S1'
_symmetry_space_group_name_H-M 'P 4/m m m'
_symmetry_Int_Tables_number 123
_symmetry_space_group_name_Hall '-P 4 2'
_cell_length_a 4.997
_cell_length_b 4.997
_cell_length_c 5.082
_cell_angle_alpha 90.00
_cell_angle_beta 90.00
_cell_angle_gamma 90.00
loop_
_atom_site_label
_atom_site_fract_x
_atom_site_fract_y
_atom_site_fract_z
Sb1 0.000 0.000 0.000
Pt1 0.000 0.500 0.000
C1 0.500 0.500 0.500
S1 0.000 0.000 0.500
```

uncorrected energy	-18.6	eV for the cell shown

=====

Entry from Alexandria via LeMat-Bulk: Ce2Co3C after structural relaxation (PBE-GGA).

Cell and atoms, written as CIF:
```
data_Ce2Co3C
_chemical_formula_sum 'Ce16 Co24 C8'
_symmetry_space_group_name_H-M 'F m m m'
_symmetry_Int_Tables_number 69
_symmetry_space_group_name_Hall '-F 2 2'
_cell_length_a 7.580
_cell_length_b 7.904
_cell_length_c 12.686
_cell_angle_alpha 90.00
_cell_angle_beta 90.00
_cell_angle_gamma 90.00
loop_
_atom_site_label
_atom_site_fract_x
_atom_site_fract_y
_atom_site_fract_z
Ce1 0.000 0.238 0.000
Ce2 0.250 0.250 0.250
Co1 0.000 0.000 0.226
Co2 0.236 0.000 0.400
C1 0.000 0.000 0.372
```

calculated formation energy	-162	meV per atom

=====

Entry from Alexandria via LeMat-Bulk: Hg4PdBr2 after structural relaxation (PBE-GGA).

Cell and atoms, written as CIF:
```
data_Hg4PdBr2
_chemical_formula_sum 'Hg8 Pd2 Br4'
_symmetry_space_group_name_H-M 'I 4/m m m'
_symmetry_Int_Tables_number 139
_symmetry_space_group_name_Hall '-I 4 2'
_cell_length_a 5.313
_cell_length_b 5.313
_cell_length_c 15.834
_cell_angle_alpha 90.00
_cell_angle_beta 90.00
_cell_angle_gamma 90.00
loop_
_atom_site_label
_atom_site_fract_x
_atom_site_fract_y
_atom_site_fract_z
Hg1 0.000 0.000 0.166
Hg2 0.000 0.500 0.000
Pd1 0.000 0.000 0.000
Br1 0.000 0.000 0.332
```

uncorrected energy	-22.4	eV for the cell shown

=====

Entry from Alexandria via LeMat-Bulk: YAsF2 after structural relaxation (PBE-GGA).

Cell and atoms, written as CIF:
```
data_YAsF2
_chemical_formula_sum 'Y3 As3 F6'
_symmetry_space_group_name_H-M 'R -3 m'
_symmetry_Int_Tables_number 166
_symmetry_space_group_name_Hall '-R 3 2"'
_cell_length_a 3.7881
_cell_length_b 3.7881
_cell_length_c 17.9857
_cell_angle_alpha 90.00
_cell_angle_beta 90.00
_cell_angle_gamma 120.00
loop_
_atom_site_label
_atom_site_fract_x
_atom_site_fract_y
_atom_site_fract_z
Y1 0.0000 0.0000 0.0000
As1 0.0000 0.0000 0.5000
F1 0.0000 0.0000 0.3004
```

energy above the lowest structure with this stoichiometry	0	meV per atom

=====

Entry from Alexandria via LeMat-Bulk: PmNdSe3 after structural relaxation (PBE-GGA).

Cell and atoms, written as CIF:
```
data_PmNdSe3
_chemical_formula_sum 'Pm4 Nd4 Se12'
_symmetry_space_group_name_H-M 'C 1 2/m 1'
_symmetry_Int_Tables_number 12
_cell_length_a 17.083
_cell_length_b 4.435
_cell_length_c 8.954
_cell_angle_alpha 90.00
_cell_angle_beta 118.46
_cell_angle_gamma 90.00
loop_
_symmetry_equiv_pos_as_xyz
'x,y,z'
'-x,-y,-z'
'-x,y,-z'
'x,-y,z'
'x+1/2,y+1/2,z'
'-x+1/2,-y+1/2,-z'
'-x+1/2,y+1/2,-z'
'x+1/2,-y+1/2,z'
loop_
_atom_site_label
_atom_site_fract_x
_atom_site_fract_y
_atom_site_fract_z
Pm1 0.128 0.000 0.290
Nd1 0.150 0.500 0.760
Se1 0.046 0.500 0.365
Se2 0.141 0.000 0.973
Se3 0.237 0.000 0.658
```

energy above the lowest structure with this stoichiometry	0	meV per atom